## Zn2GaCu (PBE)

Data for a geometry-optimized Zn2GaCu structure.

Computed properties:
Formation energy = 0.413 eV per formula unit
Symmetry = I-42d (122)
Magnetic moment = 0.0 μB per cell

Lattice parameters (Å, degrees): 9.203 9.203 9.203 155.95 155.95 34.27
Sites, in units of the cell vectors:
Zn 0.109 0.625 0.984
Zn 0.375 0.359 0.484
Zn 0.641 0.125 0.016
Zn 0.875 0.891 0.516
Ga 0.250 0.750 0.500
Ga 0.500 0.500 0.000
Cu 0.000 0.000 0.000
Cu 0.750 0.250 0.500